[1]
Here is a relaxed NpPaS4 crystal from Alexandria. Energies are from GGA-PBE.

Properties
M_tot, μB per formula unit: 4.0
Theoretical density, kg/m3: 6038
Volume, Å³/atom: 27.3
Energy relative to the elements, uncorrected, kcal/mol of atoms: -32.35
Relative energy among the computed polymorphs, eV per formula unit: 0.68

a = 8.8038 Å, b = 8.9223 Å, c = 4.1753 Å
α = 90.00°, β = 90.00°, γ = 90.00°
Space group Cmmm (No. 65)
Symmetry-distinct sites (fractional):
Np (0.0000, 0.0000, 0.0000)
Pa (0.0000, 0.5000, 0.5000)
S (0.0000, 0.3111, 0.0000)
S (0.1975, 0.0000, 0.5000)

[2]
Here is a relaxed Np6PaS12 crystal from Alexandria. Energies are from GGA-PBE.

Properties
M_tot, μB per formula unit: 23.0
Theoretical density, kg/m3: 7296
Volume, Å³/atom: 24.4
Energy relative to the elements, uncorrected, kcal/mol of atoms: -32.78

a = 11.9869 Å, b = 11.9869 Å, c = 11.1817 Å
α = 90.00°, β = 90.00°, γ = 120.00°
Space group R-3 (No. 148, hexagonal axes)
Symmetry-distinct sites (fractional):
Np (0.0455, 0.7797, 0.1420)
Pa (0.0000, 0.0000, 0.5000)
S (0.0331, 0.8155, 0.8952)
S (0.0497, 0.8390, 0.3833)

| no. | Fermi-level density of states (states/eV/f.u.) |
| --- | --- |
| 1 | 9.6 |
| 2 | 54.7 |